[1]
Here is a geometry-optimized B2PtO2 structure from Alexandria. Energies are from PBEsol.

Cell lengths 5.934, 5.934, 2.531 Å; angles 90.00, 90.00, 90.00 degrees
Space group P4/mbm (No. 127)
Symmetry-distinct sites (fractional):
B: 0.109 0.391 0.000 (multiplicity 4)
Pt: 0.000 0.000 0.000 (multiplicity 2)
O: 0.124 0.624 0.500 (multiplicity 4)

D(E_F)   3.86 states/eV per cell
Uncorrected formation energy   800 meV/atom
Magnetic moment   0.00 μB/f.u.
Raw total energy   -5.50 eV/atom

[2]
Here is a geometry-optimized RbB5O8 structure from Alexandria. Energies are from PBEsol.

Cell lengths 7.575, 11.888, 14.859 Å; angles 90.00, 90.00, 90.00 degrees
Space group Pbca (No. 61)
Symmetry-distinct sites (fractional):
Rb: 0.068 0.208 0.120 (multiplicity 8)
B: 0.023 0.525 0.154 (multiplicity 8)
B: 0.050 0.225 0.374 (multiplicity 8)
B: 0.082 0.101 0.786 (multiplicity 8)
B: 0.092 0.594 0.582 (multiplicity 8)
B: 0.194 0.068 0.457 (multiplicity 8)
O: 0.011 0.536 0.652 (multiplicity 8)
O: 0.052 0.635 0.171 (multiplicity 8)
O: 0.072 0.706 0.572 (multiplicity 8)
O: 0.096 0.513 0.911 (multiplicity 8)
O: 0.110 0.059 0.701 (multiplicity 8)
O: 0.135 0.207 0.804 (multiplicity 8)
O: 0.184 0.178 0.435 (multiplicity 8)
O: 0.196 0.529 0.525 (multiplicity 8)

D(E_F)   0.00 states/eV per cell
Uncorrected formation energy   -2445 meV/atom
Magnetic moment   0.00 μB/f.u.
Raw total energy   -8.02 eV/atom

[3]
Here is a geometry-optimized RbB3O structure from Alexandria. Energies are from PBEsol.

Cell lengths 4.244, 4.244, 4.244 Å; angles 90.00, 90.00, 90.00 degrees
Space group Pm-3m (No. 221)
Symmetry-distinct sites (fractional):
Rb: 0.000 0.000 0.000 (multiplicity 1)
B: 0.000 0.500 0.500 (multiplicity 3)
O: 0.500 0.500 0.500 (multiplicity 1)

D(E_F)   4.88 states/eV per cell
Uncorrected formation energy   2285 meV/atom
Magnetic moment   0.55 μB/f.u.
Raw total energy   -3.18 eV/atom

[4]
Here is a geometry-optimized RbB3O5 structure from Alexandria. Energies are from PBEsol.

Cell lengths 9.856, 8.889, 9.205 Å; angles 90.00, 103.85, 90.00 degrees
Space group C2/c (No. 15)
Symmetry-distinct sites (fractional):
Rb: 0.080 0.156 0.447 (multiplicity 8)
B: 0.074 0.461 0.933 (multiplicity 8)
B: 0.180 0.250 0.821 (multiplicity 8)
B: 0.203 0.493 0.235 (multiplicity 8)
O: 0.082 0.492 0.097 (multiplicity 8)
O: 0.091 0.303 0.905 (multiplicity 8)
O: 0.155 0.442 0.365 (multiplicity 8)
O: 0.186 0.098 0.800 (multiplicity 8)
O: 0.246 0.150 0.244 (multiplicity 8)

D(E_F)   0.00 states/eV per cell
Uncorrected formation energy   -2442 meV/atom
Magnetic moment   0.00 μB/f.u.
Raw total energy   -7.81 eV/atom

[5]
Here is a geometry-optimized Rb5B19O31 structure from Alexandria. Energies are from PBEsol.

Cell lengths 18.281, 11.641, 13.253 Å; angles 90.00, 95.63, 90.00 degrees
Space group C2/c (No. 15)
Symmetry-distinct sites (fractional):
Rb: 0.000 0.000 0.000 (multiplicity 4)
Rb: 0.163 0.443 0.186 (multiplicity 8)
Rb: 0.175 0.232 0.670 (multiplicity 8)
B: 0.000 0.387 0.750 (multiplicity 4)
B: 0.017 0.305 0.503 (multiplicity 8)
B: 0.017 0.457 0.381 (multiplicity 8)
B: 0.067 0.031 0.243 (multiplicity 8)
B: 0.072 0.248 0.868 (multiplicity 8)
B: 0.132 0.348 0.427 (multiplicity 8)
B: 0.151 0.180 0.302 (multiplicity 8)
B: 0.168 0.125 0.966 (multiplicity 8)
B: 0.174 0.069 0.148 (multiplicity 8)
B: 0.242 0.484 0.469 (multiplicity 8)
O: 0.000 0.023 0.750 (multiplicity 4)
O: 0.020 0.235 0.935 (multiplicity 8)
O: 0.021 0.391 0.052 (multiplicity 8)
O: 0.024 0.457 0.667 (multiplicity 8)
O: 0.064 0.315 0.785 (multiplicity 8)
O: 0.085 0.120 0.310 (multiplicity 8)
O: 0.087 0.431 0.365 (multiplicity 8)
O: 0.088 0.280 0.492 (multiplicity 8)
O: 0.111 0.004 0.673 (multiplicity 8)
O: 0.136 0.182 0.881 (multiplicity 8)
O: 0.145 0.139 0.059 (multiplicity 8)
O: 0.171 0.274 0.359 (multiplicity 8)
O: 0.188 0.411 0.494 (multiplicity 8)
O: 0.197 0.146 0.232 (multiplicity 8)
O: 0.225 0.050 0.950 (multiplicity 8)
O: 0.235 0.006 0.625 (multiplicity 8)

D(E_F)   0.00 states/eV per cell
Uncorrected formation energy   -2450 meV/atom
Magnetic moment   0.00 μB/f.u.
Raw total energy   -7.93 eV/atom

[6]
Here is a geometry-optimized RbB2Se3O10 structure from Alexandria. Energies are from PBEsol.

Cell lengths 4.655, 11.839, 16.114 Å; angles 90.00, 90.00, 90.00 degrees
Space group P2_12_12_1 (No. 19)
Symmetry-distinct sites (fractional):
Rb: 0.009 0.213 0.356 (multiplicity 4)
B: 0.066 0.033 0.589 (multiplicity 4)
B: 0.075 0.840 0.659 (multiplicity 4)
Se: 0.028 0.027 0.767 (multiplicity 4)
Se: 0.071 0.488 0.506 (multiplicity 4)
Se: 0.077 0.764 0.405 (multiplicity 4)
O: 0.005 0.915 0.909 (multiplicity 4)
O: 0.006 0.904 0.399 (multiplicity 4)
O: 0.018 0.383 0.760 (multiplicity 4)
O: 0.023 0.589 0.831 (multiplicity 4)
O: 0.038 0.912 0.590 (multiplicity 4)
O: 0.090 0.232 0.854 (multiplicity 4)
O: 0.102 0.966 0.272 (multiplicity 4)
O: 0.116 0.584 0.976 (multiplicity 4)
O: 0.121 0.201 0.175 (multiplicity 4)
O: 0.139 0.925 0.073 (multiplicity 4)

Uncorrected formation energy   -1348 meV/atom
Magnetic moment   1.02 μB/f.u.
Raw total energy   -6.29 eV/atom